Entry from Alexandria: a relaxed Ac2AlGa12 crystal (PBE).

Unit cell a=6.476 b=6.476 c=15.406 alpha=90.00 beta=90.00 gamma=90.00
Space group P4/nbm (No. 125, origin choice 2)
Unique sites:
Ac (0.250, 0.750, 0.245)
Al (0.250, 0.750, 0.000)
Ga (0.001, 0.501, 0.087)
Ga (0.072, 0.572, 0.571)
Ga (0.250, 0.250, 0.176)
Ga (0.250, 0.250, 0.343)

Volume: 21.54 Å³/atom
Magnetization: 0.000 Bohr magnetons per cell
Electronic total energy: -3.525 eV/atom
Energy of formation from the pure elements: -306 meV per atom

***

Entry from Alexandria: a relaxed NiTeRu2 crystal (PBE).

Unit cell a=4.009 b=4.009 c=3.686 alpha=90.00 beta=90.00 gamma=90.00
Space group P4/mmm (No. 123)
Unique sites:
Ni (0.000, 0.000, 0.000)
Te (0.500, 0.500, 0.000)
Ru (0.000, 0.500, 0.500)

Volume: 14.81 Å³/atom
Magnetization: 0.000 Bohr magnetons per cell
Electronic total energy: -6.619 eV/atom
Formation energy without anion corrections: 249 meV/atom

***

Copy entry 1 word for word.
Entry from Alexandria: a relaxed Ac2AlGa12 crystal (PBE).

Unit cell a=6.476 b=6.476 c=15.406 alpha=90.00 beta=90.00 gamma=90.00
Space group P4/nbm (No. 125, origin choice 2)
Unique sites:
Ac (0.250, 0.750, 0.245)
Al (0.250, 0.750, 0.000)
Ga (0.001, 0.501, 0.087)
Ga (0.072, 0.572, 0.571)
Ga (0.250, 0.250, 0.176)
Ga (0.250, 0.250, 0.343)

Volume: 21.54 Å³/atom
Magnetization: 0.000 Bohr magnetons per cell
Electronic total energy: -3.525 eV/atom
Energy of formation from the pure elements: -306 meV per atom